Density functional theory data (PBE) for a relaxed Cd4NiRu crystal.

Unit cell a=5.453 b=5.453 c=5.453 alpha=60.00 beta=60.00 gamma=60.00
Site moments in Bohr magnetons follow the coordinates.
Fractional coordinates of all 6 atoms:
Ni  0.750  0.750  0.750  0.29
Cd  0.875  0.375  0.375  -0.01
Cd  0.375  0.375  0.375  -0.01
Cd  0.375  0.375  0.875  -0.01
Cd  0.375  0.875  0.375  -0.01
Ru  0.000  0.000  0.000  0.98

DFT formation energy (kJ per mole of atoms): 61.1
Space-group type: No. 216
DFT total energy (eV for the cell shown): -14.9
Magnetization (μB per cell): 1.2
Density of states at the Fermi level (states/eV/f.u.): 6.46